# Li2CoAs2Ir, optimized geometry, DFT PBE-GGA
data_Li2CoAs2Ir
_symmetry_space_group_name_H-M 'P -4 m 2'
_symmetry_Int_Tables_number 115
_symmetry_space_group_name_Hall 'P -4 -2'
_cell_length_a 3.8616
_cell_length_b 3.8616
_cell_length_c 6.1213
_cell_angle_alpha 90.00
_cell_angle_beta 90.00
_cell_angle_gamma 90.00
loop_
_atom_site_label
_atom_site_fract_x
_atom_site_fract_y
_atom_site_fract_z
Li1 0.0000 0.5000 0.1756
Co1 0.5000 0.5000 0.5000
As1 0.0000 0.5000 0.7439
Ir1 0.0000 0.0000 0.5000
# size of the total moment	0.003	μB/f.u.
# crystal system	tetragonal
# DFT total energy	-5.33	eV/atom

***

# LuCoAsIr, optimized geometry, DFT PBE-GGA
data_LuCoAsIr
_symmetry_space_group_name_H-M 'F -4 3 m'
_symmetry_Int_Tables_number 216
_symmetry_space_group_name_Hall 'F -4 2 3'
_cell_length_a 6.3674
_cell_length_b 6.3674
_cell_length_c 6.3674
_cell_angle_alpha 90.00
_cell_angle_beta 90.00
_cell_angle_gamma 90.00
loop_
_atom_site_label
_atom_site_fract_x
_atom_site_fract_y
_atom_site_fract_z
Lu1 0.0000 0.0000 0.0000
Co1 0.2500 0.2500 0.7500
As1 0.0000 0.0000 0.5000
Ir1 0.2500 0.2500 0.2500
# energy relative to the lowest polymorph listed for this composition	0	meV/atom
# size of the total moment	1.766	μB/f.u.
# crystal system	cubic

***

# LuCoAsIr, optimized geometry, DFT PBE-GGA
data_LuCoAsIr
_symmetry_space_group_name_H-M 'F -4 3 m'
_symmetry_Int_Tables_number 216
_symmetry_space_group_name_Hall 'F -4 2 3'
_cell_length_a 6.4612
_cell_length_b 6.4612
_cell_length_c 6.4612
_cell_angle_alpha 90.00
_cell_angle_beta 90.00
_cell_angle_gamma 90.00
loop_
_atom_site_label
_atom_site_fract_x
_atom_site_fract_y
_atom_site_fract_z
Lu1 0.0000 0.0000 0.0000
Co1 0.0000 0.0000 0.5000
As1 0.2500 0.2500 0.2500
Ir1 0.2500 0.2500 0.7500
# energy relative to the lowest polymorph listed for this composition	206	meV/atom
# size of the total moment	2.191	μB/f.u.
# crystal system	cubic